[1]
The following is a GGA-PBE calculation of a relaxed structure of Cs4Hg5Pd, from the Alexandria database.

Calculated values
Formation energy   -0.204 eV per atom
E_tot   -1.2151 eV/atom

a b c (Å): 12.385 12.385 5.656
angles (deg): 90.00 90.00 90.00
Space group I4/mmm (No. 139)
Unique sites:
Cs 0.000 0.286 0.000
Hg 0.000 0.000 0.000
Hg 0.163 0.163 0.500
Pd 0.000 0.000 0.500

=====

[2]
The following is a GGA-PBE calculation of a relaxed structure of SrCdOs2, from the Alexandria database.

Calculated values
Formation energy   0.996 eV per atom
E_tot   -5.2686 eV/atom

a b c (Å): 3.019 5.011 10.143
angles (deg): 90.00 90.00 90.00
Space group Immm (No. 71)
Unique sites:
Sr 0.000 0.000 0.000
Cd 0.000 0.000 0.500
Os 0.000 0.500 0.231

=====

[3]
The following is a GGA-PBE calculation of a relaxed structure of CsInPb3, from the Alexandria database.

Calculated values
Excess energy over the best structure of this formula in the dataset   0.000 eV per atom
Formation energy   -0.106 eV per atom
E_tot   -3.0498 eV/atom

a b c (Å): 7.429 7.436 13.906
angles (deg): 90.00 90.00 90.00
Space group Fmm2 (No. 42)
Unique sites:
Cs 0.000 0.000 0.000
In 0.000 0.000 0.617
Pb 0.000 0.000 0.383
Pb 0.250 0.250 0.246

=====

[4]
The following is a GGA-PBE calculation of a relaxed structure of LaErTm, from the Alexandria database.

Calculated values
Excess energy over the best structure of this formula in the dataset   0.190 eV per atom
Formation energy   0.225 eV per atom
E_tot   -4.4294 eV/atom

a b c (Å): 4.885 4.885 8.657
angles (deg): 90.00 90.00 90.00
Space group P4/nmm (No. 129, origin choice 2)
Unique sites:
La 0.250 0.250 0.188
Er 0.250 0.250 0.786
Tm 0.250 0.750 0.500

=====

[5]
The following is a GGA-PBE calculation of a relaxed structure of RbCaCu2Cl6, from the Alexandria database.

Calculated values
Formation energy without anion corrections   -13.4 eV per formula unit
E_tot   -3.5676 eV/atom

a b c (Å): 6.9726 6.9726 22.6513
angles (deg): 90.00 90.00 120.00
Space group R-3 (No. 148, hexagonal axes)
Unique sites:
Rb 0.0000 0.0000 0.0000
Ca 0.0000 0.0000 0.5000
Cu 0.0000 0.0000 0.2357
Cl 0.0008 0.6293 0.0929

=====

[6]
The following is a GGA-PBE calculation of a relaxed structure of TaRe4Tc, from the Alexandria database.

Calculated values
Formation energy   0.101 eV per atom
E_tot   -11.9009 eV/atom

a b c (Å): 7.287 7.287 7.287
angles (deg): 90.00 90.00 90.00
Space group F-43m (No. 216)
Unique sites:
Ta 0.000 0.000 0.000
Re 0.126 0.126 0.626
Tc 0.250 0.250 0.250

=====

Look up the E_tot of the third one. -3.0498 eV/atom